Entry 1:
Computed, not measured: a geometry-optimized BeNiBr2 structure at the GGA-PBE level of DFT.

Calculated values
- Space group: I-42d, No. 122
- Uncorrected formation energy: 0.1 eV/f.u.
- Excess energy over the best structure of this formula in the dataset: 0.2788 eV/atom

Cell lengths 5.375, 5.375, 6.442 Å; angles 65.34, 65.34, 90.00 degrees
Fractional coordinates of all 8 atoms:
Br 0.375 0.397 0.750
Br 0.875 0.853 0.750
Br 0.603 0.125 0.250
Be 0.250 0.750 0.500
Ni 0.000 0.000 0.000
Ni 0.750 0.250 0.500
Br 0.147 0.625 0.250
Be 0.500 0.500 0.000

***

Entry 2:
Computed, not measured: a geometry-optimized Be4NiBr structure at the GGA-PBE level of DFT.

Calculated values
- Space group: F-43m, No. 216
- Uncorrected formation energy: 3.3 eV/f.u.

Cell lengths 4.529, 4.529, 4.529 Å; angles 60.00, 60.00, 60.00 degrees
Fractional coordinates of all 6 atoms:
Be 0.882 0.373 0.373
Be 0.373 0.373 0.882
Br 0.750 0.750 0.750
Ni 0.000 0.000 0.000
Be 0.373 0.882 0.373
Be 0.373 0.373 0.373

***

Entry 3:
Computed, not measured: a geometry-optimized Be2NiBr2 structure at the GGA-PBE level of DFT.

Calculated values
- Space group: I4/mmm, No. 139
- Uncorrected formation energy: 3.6 eV/f.u.
- Excess energy over the best structure of this formula in the dataset: 0.3065 eV/atom

Cell lengths 4.814, 4.814, 5.040 Å; angles 61.47, 61.47, 90.00 degrees
Fractional coordinates of all 5 atoms:
Be 0.750 0.250 0.500
Br 0.299 0.299 0.402
Be 0.250 0.750 0.500
Br 0.701 0.701 0.598
Ni 0.000 0.000 0.000

***

Entry 4:
Computed, not measured: a geometry-optimized BeNiBr structure at the GGA-PBE level of DFT.

Calculated values
- Space group: F-43m, No. 216
- Uncorrected formation energy: 1.6 eV/f.u.
- Excess energy over the best structure of this formula in the dataset: 0.1957 eV/atom

Cell lengths 4.036, 4.036, 4.036 Å; angles 60.00, 60.00, 60.00 degrees
Fractional coordinates of all 3 atoms:
Ni 0.750 0.750 0.750
Br 0.500 0.500 0.500
Be 0.000 0.000 0.000

***

Entry 5:
Computed, not measured: a geometry-optimized BeNiBr2 structure at the GGA-PBE level of DFT.

Calculated values
- Space group: Pm, No. 6
- Uncorrected formation energy: -0.9 eV/f.u.
- Excess energy over the best structure of this formula in the dataset: 0.0232 eV/atom

Cell lengths 3.502, 4.311, 6.252 Å; angles 86.93, 90.00, 90.00 degrees
Fractional coordinates of all 4 atoms:
Ni 0.000 0.537 0.597
Br 0.000 0.855 0.872
Br 0.500 0.262 0.405
Be 0.500 0.845 0.627

***

Entry 6:
Computed, not measured: a geometry-optimized BeNiBr2 structure at the GGA-PBE level of DFT.

Calculated values
- Space group: I-4m2, No. 119
- Uncorrected formation energy: 1.5 eV/f.u.
- Excess energy over the best structure of this formula in the dataset: 0.6284 eV/atom

Cell lengths 7.242, 7.242, 7.242 Å; angles 152.35, 152.35, 39.51 degrees
Fractional coordinates of all 4 atoms:
Br 0.250 0.750 0.500
Br 0.000 0.000 0.000
Be 0.750 0.250 0.500
Ni 0.500 0.500 0.000

***

Entry 7:
Computed, not measured: a geometry-optimized BeNiBr2 structure at the GGA-PBE level of DFT.

Calculated values
- Space group: P4/mmm, No. 123
- Uncorrected formation energy: 2.7 eV/f.u.
- Excess energy over the best structure of this formula in the dataset: 0.9119 eV/atom

Cell lengths 3.240, 3.240, 6.531 Å; angles 90.00, 90.00, 90.00 degrees
Last column: magnetic moment on the atom in μB.
Fractional coordinates of all 4 atoms:
Br 0.000 0.000 0.507  0.02
Ni 0.500 0.500 0.250  0.37
Be 0.500 0.500 0.750  -0.02
Br 0.000 0.000 0.993  0.02

***

Entry 8:
Computed, not measured: a geometry-optimized BeNiBr structure at the GGA-PBE level of DFT.

Calculated values
- Space group: Fmm2, No. 42
- Uncorrected formation energy: 1.2 eV/f.u.
- Excess energy over the best structure of this formula in the dataset: 0.0693 eV/atom

Cell lengths 6.078, 5.632, 3.203 Å; angles 81.98, 66.57, 31.45 degrees
Fractional coordinates of all 3 atoms:
Be 0.996 0.996 0.004
Ni 0.360 0.360 0.640
Br 0.645 0.645 0.355

***

Entry 9:
Computed, not measured: a geometry-optimized BeNi4Br structure at the GGA-PBE level of DFT.

Calculated values
- Space group: F-43m, No. 216
- Uncorrected formation energy: 3.6 eV/f.u.

Cell lengths 4.781, 4.781, 4.781 Å; angles 60.00, 60.00, 60.00 degrees
Fractional coordinates of all 6 atoms:
Ni 0.624 0.129 0.624
Be 0.250 0.250 0.250
Ni 0.129 0.624 0.624
Ni 0.624 0.624 0.129
Ni 0.624 0.624 0.624
Br 0.000 0.000 0.000

***

Entry 10:
Computed, not measured: a geometry-optimized Be2NiBr2 structure at the GGA-PBE level of DFT.

Calculated values
- Space group: P4/mbm, No. 127
- Uncorrected formation energy: 2.1 eV/f.u.
- Excess energy over the best structure of this formula in the dataset: 0.0000 eV/atom

Cell lengths 7.289, 7.289, 3.430 Å; angles 90.00, 90.00, 90.00 degrees
Fractional coordinates of all 10 atoms:
Br 0.235 0.735 0.000
Ni 0.000 0.000 0.000
Br 0.765 0.265 0.000
Be 0.900 0.400 0.500
Ni 0.500 0.500 0.000
Be 0.600 0.900 0.500
Br 0.735 0.765 0.000
Be 0.100 0.600 0.500
Br 0.265 0.235 0.000
Be 0.400 0.100 0.500

***

Entry 11:
Computed, not measured: a geometry-optimized BeNiBr structure at the GGA-PBE level of DFT.

Calculated values
- Space group: P3m1, No. 156
- Uncorrected formation energy: 1.0 eV/f.u.
- Excess energy over the best structure of this formula in the dataset: 0.0000 eV/atom

Cell lengths 3.150, 3.150, 5.144 Å; angles 90.00, 90.00, 120.00 degrees
Fractional coordinates of all 3 atoms:
Ni 0.667 0.333 0.711
Be 0.000 0.000 0.992
Br 0.333 0.667 0.297

***

Entry 12:
Computed, not measured: a geometry-optimized BeNiBr2 structure at the GGA-PBE level of DFT.

Calculated values
- Space group: Fm-3m, No. 225
- Uncorrected formation energy: 2.6 eV/f.u.
- Excess energy over the best structure of this formula in the dataset: 0.9045 eV/atom

Cell lengths 4.597, 4.597, 4.597 Å; angles 60.00, 60.00, 60.00 degrees
Fractional coordinates of all 4 atoms:
Br 0.750 0.750 0.750
Ni 0.500 0.500 0.500
Br 0.250 0.250 0.250
Be 0.000 0.000 0.000

***

Entry 13:
Computed, not measured: a geometry-optimized BeNiBr structure at the GGA-PBE level of DFT.

Calculated values
- Space group: Cm, No. 8
- Uncorrected formation energy: 1.0 eV/f.u.
- Excess energy over the best structure of this formula in the dataset: 0.0172 eV/atom

Cell lengths 5.804, 4.830, 4.830 Å; angles 142.44, 147.60, 47.79 degrees
Fractional coordinates of all 3 atoms:
Be 0.064 0.036 0.028
Br 0.396 0.349 0.047
Ni 0.539 0.615 0.924

***

Entry 14:
Computed, not measured: a geometry-optimized BeNiBr2 structure at the GGA-PBE level of DFT.

Calculated values
- Space group: R-3m, No. 166
- Uncorrected formation energy: 0.6 eV/f.u.
- Excess energy over the best structure of this formula in the dataset: 0.3887 eV/atom

Cell lengths 7.524, 7.524, 7.524 Å; angles 26.64, 26.64, 26.64 degrees
Fractional coordinates of all 4 atoms:
Br 0.103 0.103 0.103
Ni 0.000 0.000 0.000
Be 0.500 0.500 0.500
Br 0.897 0.897 0.897

***

Entry 15:
Computed, not measured: a geometry-optimized BeNiBr2 structure at the GGA-PBE level of DFT.

Calculated values
- Space group: C2/m, No. 12
- Uncorrected formation energy: 1.3 eV/f.u.
- Excess energy over the best structure of this formula in the dataset: 0.5655 eV/atom

Cell lengths 4.934, 4.934, 4.966 Å; angles 58.77, 58.77, 88.06 degrees
Fractional coordinates of all 4 atoms:
Ni 0.500 0.000 0.500
Be 0.000 0.500 0.500
Br 0.000 0.000 0.000
Br 0.500 0.500 0.000

***

Entry 16:
Computed, not measured: a geometry-optimized BeNiBr2 structure at the GGA-PBE level of DFT.

Calculated values
- Space group: Cmmm, No. 65
- Uncorrected formation energy: 1.3 eV/f.u.
- Excess energy over the best structure of this formula in the dataset: 0.5753 eV/atom

Cell lengths 3.802, 3.802, 7.157 Å; angles 90.00, 90.00, 129.34 degrees
Fractional coordinates of all 4 atoms:
Br 0.000 0.000 0.519
Be 0.500 0.500 0.750
Ni 0.500 0.500 0.250
Br 0.000 0.000 0.981

***

Entry 17:
Computed, not measured: a geometry-optimized BeNiBr2 structure at the GGA-PBE level of DFT.

Calculated values
- Space group: Imm2, No. 44
- Uncorrected formation energy: -0.5 eV/f.u.
- Excess energy over the best structure of this formula in the dataset: 0.1132 eV/atom

Cell lengths 7.926, 7.926, 7.926 Å; angles 155.28, 148.67, 40.31 degrees
Fractional coordinates of all 4 atoms:
Ni 0.309 0.309 0.000
Br 0.859 0.359 0.500
Br 0.118 0.118 0.000
Be 0.215 0.715 0.500

***

Entry 18:
Computed, not measured: a geometry-optimized BeNiBr2 structure at the GGA-PBE level of DFT.

Calculated values
- Space group: Immm, No. 71
- Uncorrected formation energy: 1.3 eV/f.u.
- Excess energy over the best structure of this formula in the dataset: 0.5676 eV/atom

Cell lengths 5.235, 5.235, 5.235 Å; angles 143.77, 97.36, 93.74 degrees
Fractional coordinates of all 4 atoms:
Ni 0.750 0.250 0.500
Br 0.018 0.018 0.000
Br 0.482 0.482 0.000
Be 0.250 0.750 0.500

***

Entry 19:
Computed, not measured: a geometry-optimized BeNiBr2 structure at the GGA-PBE level of DFT.

Calculated values
- Space group: F-43m, No. 216
- Uncorrected formation energy: 3.9 eV/f.u.
- Excess energy over the best structure of this formula in the dataset: 1.2257 eV/atom

Cell lengths 4.699, 4.699, 4.699 Å; angles 60.00, 60.00, 60.00 degrees
Last column: magnetic moment on the atom in μB.
Fractional coordinates of all 4 atoms:
Br 0.250 0.250 0.250  0.03
Br 0.000 0.000 0.000  0.03
Be 0.500 0.500 0.500  -0.03
Ni 0.750 0.750 0.750  0.26

***

Entry 20:
Computed, not measured: a geometry-optimized BeNiBr2 structure at the GGA-PBE level of DFT.

Calculated values
- Space group: P2/m, No. 10
- Uncorrected formation energy: 1.2 eV/f.u.
- Excess energy over the best structure of this formula in the dataset: 0.5568 eV/atom

Cell lengths 3.319, 4.973, 5.030 Å; angles 91.20, 90.00, 90.00 degrees
Fractional coordinates of all 4 atoms:
Br 0.000 0.515 0.514
Be 0.500 0.750 0.750
Br 0.000 0.985 0.986
Ni 0.500 0.250 0.250